Entry from Alexandria via LeMat-Bulk: a geometry-optimized Ca3Nd3MnSe8 structure (PBE-GGA).

Computed properties:
Symmetry   R-3m
V   416 Å³ per cell
Energy relative to the elements, uncorrected   -1.7015 eV/atom
Final energy   -5.525 eV/atom

a b c (Å): 8.3504 8.3519 8.4141
angles (deg): 119.77 90.00 119.99
Site moments in Bohr magnetons follow the coordinates.
Fractional positions:
1 Nd 0.5000 0.0000 0.5000  -0.01
2 Nd 0.5000 0.5000 0.5000  -0.01
3 Nd 0.0000 0.5000 0.5000  -0.01
4 Se 0.7627 0.5255 0.2629  0.03
5 Se 0.7630 0.9999 0.7375  0.03
6 Se 0.2373 0.4745 0.7371  0.03
7 Se 0.2370 0.0001 0.2625  0.03
8 Se 0.2369 0.9999 0.7375  0.03
9 Se 0.2487 0.4974 0.2458  0.00
10 Se 0.7513 0.5026 0.7542  0.00
11 Se 0.7631 0.0001 0.2625  0.03
12 Ca 0.0000 0.5000 0.0000  0.00
13 Ca 0.5000 0.5000 0.0000  0.00
14 Ca 0.0000 0.0000 0.0000  0.00
15 Mn 0.0000 0.0000 0.5000  4.31